(1)
Computed, not measured: a relaxed structure of Pr12Nd3Er at the GGA-PBE level of DFT.

abc: 5.226 5.226 20.870
angles: 90.00 90.00 90.00
Positions (direct):
Pr  0.000  0.500  0.626
Pr  0.500  0.000  0.123
Nd  0.000  0.000  0.500
Nd  0.000  0.000  0.249
Pr  0.000  0.500  0.877
Pr  0.500  0.000  0.877
Pr  0.500  0.500  0.752
Pr  0.000  0.500  0.374
Er  0.000  0.000  0.000
Pr  0.500  0.500  0.248
Pr  0.000  0.500  0.123
Pr  0.500  0.500  0.500
Pr  0.500  0.000  0.374
Nd  0.000  0.000  0.751
Pr  0.500  0.000  0.626
Pr  0.500  0.500  0.000

Computed properties:
Size of the total moment, μB/f.u.: 0.0
Calculated total energy, eV per atom: -4.7529
N(E_F), states/eV per cell: 25.3


(2)
Computed, not measured: a relaxed structure of Ho4Te3C at the GGA-PBE level of DFT.

abc: 5.927 7.892 10.285
angles: 90.00 90.00 90.00
Positions (direct):
Te  0.574  0.750  0.000
Te  0.065  0.651  0.260
Te  0.565  0.349  0.760
Te  0.074  0.250  0.500
C  0.500  0.863  0.500
Ho  0.565  0.761  0.295
Ho  0.106  0.865  0.500
Te  0.065  0.651  0.740
Ho  0.076  0.854  0.000
Ho  0.576  0.146  0.500
Te  0.565  0.349  0.240
Ho  0.065  0.239  0.205
Ho  0.606  0.135  0.000
Ho  0.565  0.761  0.705
C  0.000  0.137  0.000
Ho  0.065  0.239  0.795

Computed properties:
Size of the total moment, μB/f.u.: 0.0
N(E_F), states/eV per cell: 9.7
Formation energy from raw total energies, kJ per mole of atoms: -86.35


(3)
Computed, not measured: a relaxed structure of Rb3AgO8 at the GGA-PBE level of DFT.

abc: 6.900 6.900 6.900
angles: 104.12 112.21 112.21
Site moments in Bohr magnetons follow the coordinates.
Positions (direct):
Ag  0.000  0.000  0.000  0.24
O  0.477  0.853  0.853  0.39
O  0.523  0.376  0.376  0.39
O  0.000  0.147  0.624  0.39
O  0.000  0.668  0.965  0.40
Rb  0.500  0.250  0.750  0.00
O  0.703  0.035  0.035  0.40
Rb  0.000  0.500  0.500  0.00
O  0.000  0.965  0.668  0.40
O  0.000  0.624  0.147  0.39
O  0.297  0.332  0.332  0.40
Rb  0.500  0.750  0.250  0.00

Computed properties:
Size of the total moment, μB/f.u.: 4.0
N(E_F), states/eV per cell: 9.6
Formation energy from raw total energies, kJ per mole of atoms: -54.80


(4)
Computed, not measured: a relaxed structure of Ce2ScTe at the GGA-PBE level of DFT.

abc: 5.379 5.379 5.383
angles: 60.02 60.02 60.00
Site moments in Bohr magnetons follow the coordinates.
Positions (direct):
Te  0.000  0.000  0.000  -0.01
Ce  0.250  0.250  0.250  0.70
Sc  0.500  0.500  0.500  0.48
Ce  0.750  0.750  0.750  0.70

Computed properties:
Size of the total moment, μB/f.u.: 2.5
N(E_F), states/eV per cell: 13.3
Formation energy from raw total energies, kJ per mole of atoms: -22.07


(5)
Computed, not measured: a relaxed structure of La6Pr3Mg2 at the GGA-PBE level of DFT.

abc: 6.360 6.388 11.687
angles: 84.46 78.81 60.14
Positions (direct):
La  0.425  0.673  0.733
Pr  0.333  0.334  0.000
La  0.098  0.327  0.733
La  0.752  0.000  0.739
Mg  0.162  0.677  0.500
Pr  0.667  0.666  0.000
La  0.248  0.000  0.261
La  0.902  0.673  0.267
Mg  0.838  0.323  0.500
La  0.575  0.327  0.267
Pr  0.000  0.000  0.000

Computed properties:
Size of the total moment, μB/f.u.: 0.0
Calculated total energy, eV per atom: -4.1827
N(E_F), states/eV per cell: 13.8


(6)
Computed, not measured: a relaxed structure of Sc3GeAs at the GGA-PBE level of DFT.

abc: 4.963 4.963 4.963
angles: 90.00 90.00 90.00
Positions (direct):
As  0.000  0.000  0.000
Ge  0.500  0.500  0.500
Sc  0.000  0.500  0.000
Sc  0.500  0.000  0.000
Sc  0.000  0.000  0.500

Computed properties:
Size of the total moment, μB/f.u.: 0.0
Calculated total energy, eV per atom: -6.0389
N(E_F), states/eV per cell: 4.2


(7)
Computed, not measured: a relaxed structure of MgMnHg2 at the GGA-PBE level of DFT.

abc: 4.912 4.912 5.498
angles: 77.94 77.94 39.39
Site moments in Bohr magnetons follow the coordinates.
Positions (direct):
Hg  0.995  0.995  0.010  -0.01
Mg  0.750  0.750  0.750  -0.03
Mn  0.250  0.250  0.250  3.83
Hg  0.505  0.505  0.490  -0.01

Computed properties:
Size of the total moment, μB/f.u.: 3.9
Calculated total energy, eV per atom: -2.7210
N(E_F), states/eV per cell: 2.1


(8)
Computed, not measured: a relaxed structure of Al2BH at the GGA-PBE level of DFT.

abc: 3.796 3.796 3.796
angles: 60.00 60.00 60.00
Positions (direct):
Al  0.250  0.250  0.250
B  0.500  0.500  0.500
H  0.000  0.000  0.000
Al  0.750  0.750  0.750

Computed properties:
Size of the total moment, μB/f.u.: 0.0
Calculated total energy, eV per atom: -4.0791
N(E_F), states/eV per cell: 0.6


(9)
Computed, not measured: a relaxed structure of Rb2ZnInAs2 at the GGA-PBE level of DFT.

abc: 6.794 6.797 9.297
angles: 111.44 111.43 90.00
Positions (direct):
In  0.000  0.250  0.000
Rb  0.423  0.172  0.343
Rb  0.080  0.328  0.657
As  0.814  0.089  0.178
As  0.636  0.411  0.822
Rb  0.920  0.672  0.343
Zn  0.500  0.750  0.000
In  0.000  0.750  0.000
As  0.364  0.589  0.178
Rb  0.577  0.828  0.657
Zn  0.500  0.250  0.000
As  0.186  0.911  0.822

Computed properties:
Size of the total moment, μB/f.u.: 0.0
Calculated total energy, eV per atom: -2.8799
N(E_F), states/eV per cell: 2.2


(10)
Computed, not measured: a relaxed structure of CaLaPt2 at the GGA-PBE level of DFT.

abc: 4.130 4.130 7.483
angles: 73.98 73.98 60.00
Positions (direct):
La  0.669  0.669  0.994
Pt  0.085  0.085  0.746
Ca  0.497  0.497  0.508
Pt  0.249  0.249  0.252

Computed properties:
Size of the total moment, μB/f.u.: 0.0
Calculated total energy, eV per atom: -5.6803
N(E_F), states/eV per cell: 2.6


(11)
Computed, not measured: a relaxed structure of BaTlNi2 at the GGA-PBE level of DFT.

abc: 6.117 6.117 6.117
angles: 43.36 43.36 43.36
Positions (direct):
Ni  0.434  0.434  0.434
Ba  0.250  0.250  0.250
Tl  0.750  0.750  0.750
Ni  0.066  0.066  0.066

Computed properties:
Size of the total moment, μB/f.u.: 0.0
Calculated total energy, eV per atom: -4.0034
N(E_F), states/eV per cell: 1.6


(12)
Computed, not measured: a relaxed structure of PaTl4Tc3O12 at the GGA-PBE level of DFT.

abc: 7.101 7.101 7.101
angles: 109.47 109.47 109.47
Positions (direct):
O  0.500  0.750  0.250
O  0.750  0.500  0.250
Tl  0.500  0.500  0.500
Tl  0.000  0.000  0.500
O  0.250  0.750  0.500
Tl  0.500  0.000  0.000
Tc  0.000  0.500  0.500
O  0.736  0.736  0.000
Tc  0.500  0.500  0.000
Tl  0.000  0.500  0.000
O  0.000  0.736  0.736
O  0.250  0.500  0.750
Pa  0.000  0.000  0.000
O  0.264  0.264  0.000
O  0.264  0.000  0.264
O  0.736  0.000  0.736
O  0.000  0.264  0.264
O  0.750  0.250  0.500
O  0.500  0.250  0.750
Tc  0.500  0.000  0.500

Computed properties:
Size of the total moment, μB/f.u.: 0.0
N(E_F), states/eV per cell: 5.8
Formation energy from raw total energies, kJ per mole of atoms: -141.62


(13)
Computed, not measured: a relaxed structure of PrNd2H6 at the GGA-PBE level of DFT.

abc: 3.886 3.886 8.683
angles: 102.93 102.93 90.00
Positions (direct):
Nd  0.667  0.667  0.334
H  0.585  0.085  0.169
H  0.915  0.415  0.831
Pr  0.000  0.000  0.000
Nd  0.333  0.333  0.666
H  0.250  0.750  0.500
H  0.085  0.585  0.169
H  0.415  0.915  0.831
H  0.750  0.250  0.500

Computed properties:
Size of the total moment, μB/f.u.: 0.0
Calculated total energy, eV per atom: -4.4685
N(E_F), states/eV per cell: 2.7


(14)
Computed, not measured: a relaxed structure of Ce7Sn2C2 at the GGA-PBE level of DFT.

abc: 6.844 6.517 6.844
angles: 85.48 116.78 94.52
Site moments in Bohr magnetons follow the coordinates.
Positions (direct):
Sn  0.196  0.500  0.196  -0.01
Ce  0.060  0.748  0.520  0.47
Ce  0.437  0.162  0.563  0.19
Ce  0.480  0.748  0.940  0.47
Ce  0.520  0.252  0.060  0.47
C  0.775  0.965  0.225  -0.03
Ce  0.940  0.252  0.480  0.47
C  0.225  0.035  0.775  -0.03
Ce  0.000  0.000  0.000  0.59
Sn  0.804  0.500  0.804  -0.01
Ce  0.563  0.838  0.437  0.19

Computed properties:
Size of the total moment, μB/f.u.: 3.4
Calculated total energy, eV per atom: -6.3859
N(E_F), states/eV per cell: 26.8


(15)
Computed, not measured: a relaxed structure of InSn2Br4 at the GGA-PBE level of DFT.

abc: 6.647 9.622 9.754
angles: 116.07 105.72 104.33
Site moments in Bohr magnetons follow the coordinates.
Positions (direct):
In  0.115  0.041  0.063  0.08
Br  0.856  0.688  0.065  0.01
In  0.272  0.821  0.581  0.01
Br  0.278  0.480  0.096  0.00
Sn  0.109  0.354  0.733  0.00
Br  0.908  0.206  0.343  0.00
Sn  0.621  0.370  0.236  0.22
Br  0.946  0.013  0.639  0.00
Br  0.614  0.171  0.898  0.01
Sn  0.614  0.374  0.732  0.00
Sn  0.609  0.849  0.231  0.01
Br  0.618  0.563  0.567  0.01
Br  0.364  0.043  0.404  0.00
Br  0.326  0.778  0.912  0.00

Computed properties:
Size of the total moment, μB/f.u.: 0.4
N(E_F), states/eV per cell: 2.6
Formation energy from raw total energies, kJ per mole of atoms: -56.87


(16)
Computed, not measured: a relaxed structure of PaCoB at the GGA-PBE level of DFT.

abc: 3.884 5.083 5.083
angles: 76.94 67.54 67.54
Positions (direct):
B  0.000  0.863  0.137
Pa  0.237  0.263  0.263
Pa  0.763  0.737  0.737
Co  0.500  0.293  0.707
B  0.000  0.137  0.863
Co  0.500  0.707  0.293

Computed properties:
Size of the total moment, μB/f.u.: 0.0
Calculated total energy, eV per atom: -8.1822
N(E_F), states/eV per cell: 5.6


(17)
Computed, not measured: a relaxed structure of ZrSb2TeRh at the GGA-PBE level of DFT.

abc: 5.054 5.054 5.295
angles: 90.00 90.00 90.00
Positions (direct):
Rh  0.000  0.000  0.000
Sb  0.000  0.500  0.000
Te  0.000  0.000  0.500
Sb  0.500  0.000  0.000
Zr  0.500  0.500  0.500

Computed properties:
Size of the total moment, μB/f.u.: 0.0
N(E_F), states/eV per cell: 5.0
Formation energy from raw total energies, kJ per mole of atoms: 32.71


(18)
Computed, not measured: a relaxed structure of ErSc3Se4 at the GGA-PBE level of DFT.

abc: 3.901 6.797 6.797
angles: 109.22 90.00 90.00
Positions (direct):
Er  0.500  0.000  0.000
Sc  0.500  0.500  0.500
Se  0.000  0.258  0.258
Sc  0.000  0.000  0.500
Se  0.500  0.746  0.254
Sc  0.000  0.500  0.000
Se  0.000  0.742  0.742
Se  0.500  0.254  0.746

Computed properties:
Size of the total moment, μB/f.u.: 0.0
N(E_F), states/eV per cell: 5.4
Formation energy from raw total energies, kJ per mole of atoms: -155.59


(19)
Computed, not measured: a relaxed structure of LaFe2Cl at the GGA-PBE level of DFT.

abc: 4.834 4.834 4.834
angles: 60.00 60.00 60.00
Site moments in Bohr magnetons follow the coordinates.
Positions (direct):
Fe  0.750  0.750  0.750  2.90
La  0.500  0.500  0.500  -0.20
Fe  0.250  0.250  0.250  2.90
Cl  0.000  0.000  0.000  0.17

Computed properties:
Size of the total moment, μB/f.u.: 5.8
N(E_F), states/eV per cell: 5.2
Formation energy from raw total energies, kJ per mole of atoms: 59.28


(20)
Computed, not measured: a relaxed structure of TeBrCl at the GGA-PBE level of DFT.

abc: 3.878 5.559 5.476
angles: 90.00 110.09 90.00
Positions (direct):
Te  0.081  0.000  0.075
Br  0.100  0.500  0.109
Cl  0.853  0.000  0.608

Computed properties:
Size of the total moment, μB/f.u.: 0.0
N(E_F), states/eV per cell: 0.7
Formation energy from raw total energies, kJ per mole of atoms: -22.81


(21)
Computed, not measured: a relaxed structure of YZn2Cu3 at the GGA-PBE level of DFT.

abc: 4.229 4.229 12.506
angles: 90.00 90.00 120.00
Positions (direct):
Y  0.000  0.000  0.250
Cu  0.667  0.333  0.882
Zn  0.667  0.333  0.085
Cu  0.333  0.667  0.382
Zn  0.333  0.667  0.915
Zn  0.333  0.667  0.585
Y  0.000  0.000  0.750
Cu  0.333  0.667  0.118
Cu  0.000  0.000  0.500
Cu  0.000  0.000  0.000
Cu  0.667  0.333  0.618
Zn  0.667  0.333  0.415

Computed properties:
Size of the total moment, μB/f.u.: 0.0
Calculated total energy, eV per atom: -3.7500
N(E_F), states/eV per cell: 8.0


(22)
Computed, not measured: a relaxed structure of SrLaNi10 at the GGA-PBE level of DFT.

abc: 3.960 5.033 8.705
angles: 90.00 90.00 90.00
Site moments in Bohr magnetons follow the coordinates.
Positions (direct):
Ni  0.500  0.000  0.500  0.40
Sr  0.000  0.000  0.000  -0.03
La  0.000  0.500  0.500  -0.07
Ni  0.000  0.000  0.663  0.33
Ni  0.000  0.500  0.172  0.39
Ni  0.500  0.251  0.253  0.44
Ni  0.000  0.000  0.337  0.33
Ni  0.500  0.749  0.747  0.44
Ni  0.500  0.251  0.747  0.44
Ni  0.500  0.500  0.000  0.46
Ni  0.000  0.500  0.828  0.39
Ni  0.500  0.749  0.253  0.44

Computed properties:
Size of the total moment, μB/f.u.: 3.6
Calculated total energy, eV per atom: -5.5185
N(E_F), states/eV per cell: 15.6


(23)
Computed, not measured: a relaxed structure of Mg2InAgO at the GGA-PBE level of DFT.

abc: 4.097 5.375 4.097
angles: 90.00 90.00 90.00
Positions (direct):
In  0.500  0.500  0.500
Ag  0.000  0.500  0.000
O  0.000  0.000  0.000
Mg  0.500  0.000  0.000
Mg  0.000  0.000  0.500

Computed properties:
Size of the total moment, μB/f.u.: 0.0
N(E_F), states/eV per cell: 1.3
Formation energy from raw total energies, kJ per mole of atoms: -73.98


(24)
Computed, not measured: a relaxed structure of LaTb2YS4 at the GGA-PBE level of DFT.

abc: 5.639 5.639 6.903
angles: 114.11 114.11 90.00
Positions (direct):
S  0.194  0.194  0.513
Tb  0.187  0.687  0.500
Y  0.437  0.437  0.000
Tb  0.687  0.187  0.500
La  0.937  0.937  0.000
S  0.681  0.681  0.487
S  0.937  0.437  0.000
S  0.437  0.937  0.000

Computed properties:
Size of the total moment, μB/f.u.: 0.0
N(E_F), states/eV per cell: 3.6
Formation energy from raw total energies, kJ per mole of atoms: -195.02